P) Below is a relaxed Rb2TaCr crystal, with properties calculated at the PBE level.

Geometry as CIF:
```
data_Rb2TaCr
_chemical_formula_sum 'Rb8 Ta4 Cr4'
_space_group_name_H-M_alt 'F m -3 m'
_space_group_IT_number 225
_space_group_name_Hall '-F 4 2 3'
_cell_length_a 8.713
_cell_length_b 8.713
_cell_length_c 8.713
_cell_angle_alpha 90.00
_cell_angle_beta 90.00
_cell_angle_gamma 90.00
loop_
_atom_site_label
_atom_site_type_symbol
_atom_site_fract_x
_atom_site_fract_y
_atom_site_fract_z
Rb1 Rb 0.250 0.250 0.250
Ta1 Ta 0.000 0.000 0.000
Cr1 Cr 0.000 0.000 0.500
```

Q) Below is a relaxed Rb2TaCr crystal, with properties calculated at the PBE level.

Geometry as CIF:
```
data_Rb2TaCr
_chemical_formula_sum 'Rb8 Ta4 Cr4'
_space_group_name_H-M_alt 'I -4 2 d'
_space_group_IT_number 122
_space_group_name_Hall 'I -4 2bw'
_cell_length_a 13.383
_cell_length_b 13.383
_cell_length_c 4.626
_cell_angle_alpha 90.00
_cell_angle_beta 90.00
_cell_angle_gamma 90.00
loop_
_atom_site_label
_atom_site_type_symbol
_atom_site_fract_x
_atom_site_fract_y
_atom_site_fract_z
Rb1 Rb 0.079 0.750 0.125
Ta1 Ta 0.000 0.000 0.500
Cr1 Cr 0.000 0.000 0.000
```

Quick look at relative energies in kJ/mol of atoms: P) 44.6; Q) 0.0.

P) Below is a relaxed RbTa2Cr crystal, with properties calculated at the PBE level.

Geometry as CIF:
```
data_RbTa2Cr
_chemical_formula_sum 'Rb4 Ta8 Cr4'
_space_group_name_H-M_alt 'I 41/a m d'
_space_group_IT_number 141
_cell_length_a 6.230
_cell_length_b 6.230
_cell_length_c 13.360
_cell_angle_alpha 90.00
_cell_angle_beta 90.00
_cell_angle_gamma 90.00
loop_
_space_group_symop_operation_xyz
'x,y,z'
'-x,-y,-z'
'-y+1/4,x+3/4,z+1/4'
'y+1/4,-x+3/4,-z+1/4'
'-x+1/2,-y,z+1/2'
'x+1/2,y,-z+1/2'
'y+1/4,-x+1/4,z+3/4'
'-y+1/4,x+1/4,-z+3/4'
'x,-y,-z'
'-x,y,z'
'-y+1/4,-x+1/4,-z+3/4'
'y+1/4,x+1/4,z+3/4'
'-x+1/2,y,-z+1/2'
'x+1/2,-y,z+1/2'
'y+1/4,x+3/4,-z+1/4'
'-y+1/4,-x+3/4,z+1/4'
'x+1/2,y+1/2,z+1/2'
'-x+1/2,-y+1/2,-z+1/2'
'-y+3/4,x+1/4,z+3/4'
'y+3/4,-x+1/4,-z+3/4'
'-x,-y+1/2,z'
'x,y+1/2,-z'
'y+3/4,-x+3/4,z+1/4'
'-y+3/4,x+3/4,-z+1/4'
'x+1/2,-y+1/2,-z+1/2'
'-x+1/2,y+1/2,z+1/2'
'-y+3/4,-x+3/4,-z+1/4'
'y+3/4,x+3/4,z+1/4'
'-x,y+1/2,-z'
'x,-y+1/2,z'
'y+3/4,x+1/4,-z+3/4'
'-y+3/4,-x+1/4,z+3/4'
loop_
_atom_site_label
_atom_site_type_symbol
_atom_site_fract_x
_atom_site_fract_y
_atom_site_fract_z
Rb1 Rb 0.000 0.250 0.375
Ta1 Ta 0.000 0.000 0.000
Cr1 Cr 0.000 0.250 0.875
```

Q) Below is a relaxed RbTa2Cr crystal, with properties calculated at the PBE level.

Geometry as CIF:
```
data_RbTa2Cr
_chemical_formula_sum 'Rb4 Ta8 Cr4'
_space_group_name_H-M_alt 'F m -3 m'
_space_group_IT_number 225
_space_group_name_Hall '-F 4 2 3'
_cell_length_a 6.720
_cell_length_b 6.720
_cell_length_c 6.720
_cell_angle_alpha 90.00
_cell_angle_beta 90.00
_cell_angle_gamma 90.00
loop_
_atom_site_label
_atom_site_type_symbol
_atom_site_fract_x
_atom_site_fract_y
_atom_site_fract_z
Rb1 Rb 0.000 0.000 0.000
Ta1 Ta 0.250 0.250 0.250
Cr1 Cr 0.000 0.000 0.500
```

Quick look at relative energies in kJ/mol of atoms: P) 8.2; Q) 0.0.

P) Below is a relaxed RbTa3Cr crystal, with properties calculated at the PBE level.

Geometry as CIF:
```
data_RbTa3Cr
_chemical_formula_sum 'Rb1 Ta3 Cr1'
_space_group_name_H-M_alt 'P m -3 m'
_space_group_IT_number 221
_space_group_name_Hall '-P 4 2 3'
_cell_length_a 4.840
_cell_length_b 4.840
_cell_length_c 4.840
_cell_angle_alpha 90.00
_cell_angle_beta 90.00
_cell_angle_gamma 90.00
loop_
_atom_site_label
_atom_site_type_symbol
_atom_site_fract_x
_atom_site_fract_y
_atom_site_fract_z
Rb1 Rb 0.000 0.000 0.000
Ta1 Ta 0.000 0.500 0.500
Cr1 Cr 0.500 0.500 0.500
```

Q) Below is a relaxed RbTa3Cr crystal, with properties calculated at the PBE level.

Geometry as CIF:
```
data_RbTa3Cr
_chemical_formula_sum 'Rb1 Ta3 Cr1'
_space_group_name_H-M_alt 'P m -3 m'
_space_group_IT_number 221
_space_group_name_Hall '-P 4 2 3'
_cell_length_a 4.787
_cell_length_b 4.787
_cell_length_c 4.787
_cell_angle_alpha 90.00
_cell_angle_beta 90.00
_cell_angle_gamma 90.00
loop_
_atom_site_label
_atom_site_type_symbol
_atom_site_fract_x
_atom_site_fract_y
_atom_site_fract_z
Rb1 Rb 0.000 0.000 0.000
Ta1 Ta 0.000 0.000 0.500
Cr1 Cr 0.500 0.500 0.500
```

Quick look at relative energies in kJ/mol of atoms: P) 0.0; Q) 170.5.

P) Below is a relaxed RbCrTc crystal, with properties calculated at the PBE level.

Geometry as CIF:
```
data_RbCrTc
_chemical_formula_sum 'Rb2 Cr2 Tc2'
_space_group_name_H-M_alt 'I 4 m m'
_space_group_IT_number 107
_space_group_name_Hall 'I 4 -2'
_cell_length_a 3.204
_cell_length_b 3.204
_cell_length_c 13.754
_cell_angle_alpha 90.00
_cell_angle_beta 90.00
_cell_angle_gamma 90.00
loop_
_atom_site_label
_atom_site_type_symbol
_atom_site_fract_x
_atom_site_fract_y
_atom_site_fract_z
Rb1 Rb 0.000 0.000 0.000
Cr1 Cr 0.000 0.000 0.280
Tc1 Tc 0.000 0.000 0.713
```

Q) Below is a relaxed RbCrTc crystal, with properties calculated at the PBE level.

Geometry as CIF:
```
data_RbCrTc
_chemical_formula_sum 'Rb2 Cr2 Tc2'
_space_group_name_H-M_alt 'P 1'
_space_group_IT_number 1
_space_group_name_Hall 'P 1'
_cell_length_a 3.104
_cell_length_b 4.172
_cell_length_c 13.069
_cell_angle_alpha 89.60
_cell_angle_beta 84.90
_cell_angle_gamma 89.98
loop_
_atom_site_label
_atom_site_type_symbol
_atom_site_fract_x
_atom_site_fract_y
_atom_site_fract_z
Rb1 Rb 0.000 0.000 0.000
Rb2 Rb 0.395 0.501 0.351
Cr1 Cr 0.319 0.000 0.594
Cr2 Cr 0.820 0.500 0.599
Tc1 Tc 0.294 0.497 0.759
Tc2 Tc 0.735 0.997 0.752
```

Quick look at relative energies in kJ/mol of atoms: P) 29.6; Q) 0.0.

P) Below is a relaxed RbCr2Tc crystal, with properties calculated at the PBE level.

Geometry as CIF:
```
data_RbCr2Tc
_chemical_formula_sum 'Rb4 Cr8 Tc4'
_space_group_name_H-M_alt 'I 41/a m d'
_space_group_IT_number 141
_cell_length_a 5.921
_cell_length_b 5.921
_cell_length_c 14.630
_cell_angle_alpha 90.00
_cell_angle_beta 90.00
_cell_angle_gamma 90.00
loop_
_space_group_symop_operation_xyz
'x,y,z'
'-x,-y,-z'
'-y+1/4,x+3/4,z+1/4'
'y+1/4,-x+3/4,-z+1/4'
'-x+1/2,-y,z+1/2'
'x+1/2,y,-z+1/2'
'y+1/4,-x+1/4,z+3/4'
'-y+1/4,x+1/4,-z+3/4'
'x,-y,-z'
'-x,y,z'
'-y+1/4,-x+1/4,-z+3/4'
'y+1/4,x+1/4,z+3/4'
'-x+1/2,y,-z+1/2'
'x+1/2,-y,z+1/2'
'y+1/4,x+3/4,-z+1/4'
'-y+1/4,-x+3/4,z+1/4'
'x+1/2,y+1/2,z+1/2'
'-x+1/2,-y+1/2,-z+1/2'
'-y+3/4,x+1/4,z+3/4'
'y+3/4,-x+1/4,-z+3/4'
'-x,-y+1/2,z'
'x,y+1/2,-z'
'y+3/4,-x+3/4,z+1/4'
'-y+3/4,x+3/4,-z+1/4'
'x+1/2,-y+1/2,-z+1/2'
'-x+1/2,y+1/2,z+1/2'
'-y+3/4,-x+3/4,-z+1/4'
'y+3/4,x+3/4,z+1/4'
'-x,y+1/2,-z'
'x,-y+1/2,z'
'y+3/4,x+1/4,-z+3/4'
'-y+3/4,-x+1/4,z+3/4'
loop_
_atom_site_label
_atom_site_type_symbol
_atom_site_fract_x
_atom_site_fract_y
_atom_site_fract_z
Rb1 Rb 0.000 0.250 0.375
Cr1 Cr 0.000 0.000 0.000
Tc1 Tc 0.000 0.250 0.875
```

Q) Below is a relaxed RbCr2Tc crystal, with properties calculated at the PBE level.

Geometry as CIF:
```
data_RbCr2Tc
_chemical_formula_sum 'Rb4 Cr8 Tc4'
_space_group_name_H-M_alt 'F m -3 m'
_space_group_IT_number 225
_space_group_name_Hall '-F 4 2 3'
_cell_length_a 6.383
_cell_length_b 6.383
_cell_length_c 6.383
_cell_angle_alpha 90.00
_cell_angle_beta 90.00
_cell_angle_gamma 90.00
loop_
_atom_site_label
_atom_site_type_symbol
_atom_site_fract_x
_atom_site_fract_y
_atom_site_fract_z
Rb1 Rb 0.000 0.000 0.000
Cr1 Cr 0.250 0.250 0.250
Tc1 Tc 0.000 0.000 0.500
```

Quick look at relative energies in kJ/mol of atoms: P) 0.0; Q) 50.5.

P) Below is a relaxed RbCr3Tc crystal, with properties calculated at the PBE level.

Geometry as CIF:
```
data_RbCr3Tc
_chemical_formula_sum 'Rb1 Cr3 Tc1'
_space_group_name_H-M_alt 'P m -3 m'
_space_group_IT_number 221
_space_group_name_Hall '-P 4 2 3'
_cell_length_a 4.943
_cell_length_b 4.943
_cell_length_c 4.943
_cell_angle_alpha 90.00
_cell_angle_beta 90.00
_cell_angle_gamma 90.00
loop_
_atom_site_label
_atom_site_type_symbol
_atom_site_fract_x
_atom_site_fract_y
_atom_site_fract_z
Rb1 Rb 0.000 0.000 0.000
Cr1 Cr 0.000 0.500 0.500
Tc1 Tc 0.500 0.500 0.500
```

Q) Below is a relaxed RbCr3Tc crystal, with properties calculated at the PBE level.

Geometry as CIF:
```
data_RbCr3Tc
_chemical_formula_sum 'Rb1 Cr3 Tc1'
_space_group_name_H-M_alt 'P m -3 m'
_space_group_IT_number 221
_space_group_name_Hall '-P 4 2 3'
_cell_length_a 4.721
_cell_length_b 4.721
_cell_length_c 4.721
_cell_angle_alpha 90.00
_cell_angle_beta 90.00
_cell_angle_gamma 90.00
loop_
_atom_site_label
_atom_site_type_symbol
_atom_site_fract_x
_atom_site_fract_y
_atom_site_fract_z
Rb1 Rb 0.000 0.000 0.000
Cr1 Cr 0.000 0.000 0.500
Tc1 Tc 0.500 0.500 0.500
```

Quick look at relative energies in kJ/mol of atoms: P) 0.0; Q) 166.0.